# 1
{"formula": "PrCuO3", "functional": "PBEsol", "state": "optimized geometry", "cell": [[3.795, 0.000, 0.000], [0.000, 3.795, 0.000], [0.000, 0.000, 3.795]], "species": ["Pr", "Cu", "O", "O", "O"], "fractional_positions": [[0.000, 0.000, 0.000], [0.500, 0.500, 0.500], [0.000, 0.500, 0.500], [0.500, 0.000, 0.500], [0.500, 0.500, 0.000]], "vol_a3_per_atom": 10.93, "dos_at_fermi_per_ev_cell": 0.70, "raw_formation_energy_ev_per_atom": -1.97}

---

# 2
{"formula": "LaTa3Pd", "functional": "PBEsol", "state": "optimized geometry", "cell": [[4.781, 0.000, 0.000], [0.000, 4.781, 0.000], [0.000, 0.000, 4.781]], "species": ["La", "Ta", "Ta", "Ta", "Pd"], "fractional_positions": [[0.000, 0.000, 0.000], [0.000, 0.000, 0.500], [0.000, 0.500, 0.000], [0.500, 0.000, 0.000], [0.500, 0.500, 0.500]], "vol_a3_per_atom": 21.85, "formation_enthalpy_0k_ev_per_atom": 2.231, "dos_at_fermi_per_ev_cell": 4.19}

---

# 3
{"formula": "Li5Mg", "functional": "PBEsol", "state": "optimized geometry", "cell": [[4.953, 0.000, 0.000], [0.000, 1.604, 7.508], [0.000, -1.604, 7.508]], "species": ["Li", "Li", "Li", "Li", "Li", "Mg"], "fractional_positions": [[0.000, 0.000, 0.000], [0.000, 0.329, 0.329], [0.000, 0.665, 0.665], [0.500, 0.469, 0.469], [0.500, 0.804, 0.804], [0.500, 0.137, 0.137]], "relative_energy_ev_per_fu": 0.018, "vol_a3_per_atom": 19.88, "formation_enthalpy_0k_ev_per_atom": -0.019, "dos_at_fermi_per_ev_cell": 2.86}

---

# 4
{"formula": "KRbNa3", "functional": "PBEsol", "state": "optimized geometry", "cell": [[6.907, 0.000, 0.000], [0.000, 6.907, 0.000], [0.000, 0.000, 6.907]], "species": ["K", "Rb", "Na", "Na", "Na"], "fractional_positions": [[0.000, 0.000, 0.000], [0.500, 0.500, 0.500], [0.000, 0.500, 0.500], [0.500, 0.000, 0.500], [0.500, 0.500, 0.000]], "vol_a3_per_atom": 65.90, "formation_enthalpy_0k_ev_per_atom": 0.304, "dos_at_fermi_per_ev_cell": 3.61}

---

# 5
{"formula": "Si2Ag", "functional": "PBEsol", "state": "optimized geometry", "cell": [[0.000, 2.997, 2.997], [2.997, 0.000, 2.997], [2.997, 2.997, 0.000]], "species": ["Si", "Si", "Ag"], "fractional_positions": [[0.250, 0.250, 0.250], [0.750, 0.750, 0.750], [0.000, 0.000, 0.000]], "relative_energy_ev_per_fu": 0.520, "vol_a3_per_atom": 17.94, "dos_at_fermi_per_ev_cell": 1.52, "raw_formation_energy_ev_per_atom": 0.44}

---

# 6
{"formula": "Li2MnRh", "functional": "PBEsol", "state": "optimized geometry", "cell": [[0.000, 2.933, 2.933], [2.933, 0.000, 2.933], [2.933, 2.933, 0.000]], "species": ["Li", "Li", "Mn", "Rh"], "fractional_positions": [[0.250, 0.250, 0.250], [0.750, 0.750, 0.750], [0.000, 0.000, 0.000], [0.500, 0.500, 0.500]], "relative_energy_ev_per_fu": 0.632, "vol_a3_per_atom": 12.62, "formation_enthalpy_0k_ev_per_atom": 0.209, "dos_at_fermi_per_ev_cell": 1.07}

---

# 7
{"formula": "BiNF3", "functional": "PBEsol", "state": "optimized geometry", "cell": [[3.985, 0.000, 0.000], [0.000, 3.985, 0.000], [0.000, 0.000, 3.985]], "species": ["Bi", "N", "F", "F", "F"], "fractional_positions": [[0.000, 0.000, 0.000], [0.500, 0.500, 0.500], [0.000, 0.500, 0.500], [0.500, 0.000, 0.500], [0.500, 0.500, 0.000]], "vol_a3_per_atom": 12.65, "dos_at_fermi_per_ev_cell": 1.94, "raw_formation_energy_ev_per_atom": 0.02}

---

# 8
{"formula": "La3AgCl", "functional": "PBEsol", "state": "optimized geometry", "cell": [[5.350, 0.000, 0.000], [0.000, 5.350, 0.000], [0.000, 0.000, 5.350]], "species": ["La", "La", "La", "Ag", "Cl"], "fractional_positions": [[0.000, 0.000, 0.500], [0.000, 0.500, 0.000], [0.500, 0.000, 0.000], [0.500, 0.500, 0.500], [0.000, 0.000, 0.000]], "vol_a3_per_atom": 30.63, "dos_at_fermi_per_ev_cell": 3.94, "raw_formation_energy_ev_per_atom": -0.45}

---

# 9
{"formula": "HfNbI2", "functional": "PBEsol", "state": "optimized geometry", "cell": [[0.000, 3.459, 3.459], [3.459, 0.000, 3.459], [3.459, 3.459, 0.000]], "species": ["Hf", "Nb", "I", "I"], "fractional_positions": [[0.000, 0.000, 0.000], [0.500, 0.500, 0.500], [0.250, 0.250, 0.250], [0.750, 0.750, 0.750]], "vol_a3_per_atom": 20.69, "dos_at_fermi_per_ev_cell": 6.15, "raw_formation_energy_ev_per_atom": 0.34}

---

# 10
{"formula": "Li2MgGe", "functional": "PBEsol", "state": "optimized geometry", "cell": [[0.000, 3.189, 3.189], [3.189, 0.000, 3.189], [3.189, 3.189, 0.000]], "species": ["Li", "Li", "Mg", "Ge"], "fractional_positions": [[0.000, 0.000, 0.000], [0.250, 0.250, 0.250], [0.750, 0.750, 0.750], [0.500, 0.500, 0.500]], "vol_a3_per_atom": 16.21, "formation_enthalpy_0k_ev_per_atom": -0.352, "dos_at_fermi_per_ev_cell": 0.24}

---

# 11
{"formula": "Mg3ScCr", "functional": "PBEsol", "state": "optimized geometry", "cell": [[4.954, 0.000, 0.000], [0.000, 4.954, 0.000], [0.000, 0.000, 4.954]], "species": ["Mg", "Mg", "Mg", "Sc", "Cr"], "fractional_positions": [[0.000, 0.000, 0.500], [0.000, 0.500, 0.000], [0.500, 0.000, 0.000], [0.500, 0.500, 0.500], [0.000, 0.000, 0.000]], "vol_a3_per_atom": 24.32, "formation_enthalpy_0k_ev_per_atom": 0.760, "dos_at_fermi_per_ev_cell": 3.06}

---

# 12
{"formula": "MgTl2Hg", "functional": "PBEsol", "state": "optimized geometry", "cell": [[3.468, 0.000, 0.000], [0.000, 3.468, 0.000], [0.000, 0.000, 8.264]], "species": ["Mg", "Tl", "Tl", "Hg"], "fractional_positions": [[0.000, 0.000, 0.000], [0.000, 0.000, 0.541], [0.500, 0.500, 0.252], [0.500, 0.500, 0.807]], "vol_a3_per_atom": 24.86, "formation_enthalpy_0k_ev_per_atom": -0.088, "dos_at_fermi_per_ev_cell": 1.65}

---

# 13
{"formula": "TeMoO2F", "functional": "PBEsol", "state": "optimized geometry", "cell": [[4.186, 0.000, 0.000], [0.000, 4.186, 0.000], [0.000, 0.000, 4.436]], "species": ["Te", "Mo", "O", "O", "F"], "fractional_positions": [[0.000, 0.000, 0.000], [0.500, 0.500, 0.500], [0.000, 0.500, 0.000], [0.500, 0.000, 0.000], [0.000, 0.000, 0.500]], "vol_a3_per_atom": 15.55, "dos_at_fermi_per_ev_cell": 2.58, "raw_formation_energy_ev_per_atom": 0.01}

---

# 14
{"formula": "Zr2ZnCu", "functional": "PBEsol", "state": "optimized geometry", "cell": [[4.617, 0.000, 0.000], [0.000, 4.617, 0.000], [0.000, 0.000, 3.249]], "species": ["Zr", "Zr", "Zn", "Cu"], "fractional_positions": [[0.000, 0.500, 0.000], [0.500, 0.000, 0.000], [0.000, 0.000, 0.500], [0.500, 0.500, 0.500]], "vol_a3_per_atom": 17.32, "formation_enthalpy_0k_ev_per_atom": -0.185, "dos_at_fermi_per_ev_cell": 4.51}

---

# 15
{"formula": "Zn3BRh", "functional": "PBEsol", "state": "optimized geometry", "cell": [[4.004, 0.000, 0.000], [0.000, 4.004, 0.000], [0.000, 0.000, 4.004]], "species": ["Zn", "Zn", "Zn", "B", "Rh"], "fractional_positions": [[0.000, 0.000, 0.500], [0.000, 0.500, 0.000], [0.500, 0.000, 0.000], [0.000, 0.000, 0.000], [0.500, 0.500, 0.500]], "vol_a3_per_atom": 12.83, "formation_enthalpy_0k_ev_per_atom": 0.343, "dos_at_fermi_per_ev_cell": 2.77}

---

# 16
{"formula": "CePrO4", "functional": "PBEsol", "state": "optimized geometry", "cell": [[1.957, 1.130, 6.317], [-1.957, 1.130, 6.317], [0.000, -2.260, 6.317]], "species": ["Ce", "Pr", "O", "O", "O", "O"], "fractional_positions": [[0.000, 0.000, 0.000], [0.500, 0.500, 0.500], [0.119, 0.119, 0.119], [0.369, 0.369, 0.369], [0.631, 0.631, 0.631], [0.881, 0.881, 0.881]], "vol_a3_per_atom": 13.97, "dos_at_fermi_per_ev_cell": 7.14, "raw_formation_energy_ev_per_atom": -3.02}

---

# 17
{"formula": "Li2YAg", "functional": "PBEsol", "state": "optimized geometry", "cell": [[5.246, -1.659, 0.000], [5.246, 1.659, 0.000], [-1.576, 0.000, 4.769]], "species": ["Li", "Li", "Y", "Ag"], "fractional_positions": [[0.221, 0.221, 0.202], [0.779, 0.779, 0.798], [0.000, 0.000, 0.500], [0.500, 0.500, 0.000]], "relative_energy_ev_per_fu": 0.119, "vol_a3_per_atom": 20.75, "formation_enthalpy_0k_ev_per_atom": -0.061, "dos_at_fermi_per_ev_cell": 2.65}

---

# 18
{"formula": "NiCSCl2", "functional": "PBEsol", "state": "optimized geometry", "cell": [[4.111, 0.000, 0.000], [0.000, 4.111, 0.000], [0.000, 0.000, 4.277]], "species": ["Ni", "C", "S", "Cl", "Cl"], "fractional_positions": [[0.000, 0.000, 0.000], [0.500, 0.500, 0.500], [0.500, 0.500, 0.000], [0.000, 0.500, 0.500], [0.500, 0.000, 0.500]], "vol_a3_per_atom": 14.46, "dos_at_fermi_per_ev_cell": 6.66, "raw_formation_energy_ev_per_atom": 1.28}

---

# 19
{"formula": "TlFeSi2", "functional": "PBEsol", "state": "optimized geometry", "cell": [[-1.512, 2.539, 4.285], [1.512, -2.539, 4.285], [1.512, 2.539, -4.285]], "species": ["Tl", "Fe", "Si", "Si"], "fractional_positions": [[0.000, 0.000, 0.000], [0.727, 0.227, 0.500], [0.289, 0.789, 0.500], [0.527, 0.527, 0.000]], "relative_energy_ev_per_fu": 0.835, "vol_a3_per_atom": 16.44, "dos_at_fermi_per_ev_cell": 2.69, "raw_formation_energy_ev_per_atom": 0.56}

---

# 20
{"formula": "CsRb2DyCl6", "functional": "PBEsol", "state": "optimized geometry", "cell": [[0.000, 5.794, 5.794], [5.794, 0.000, 5.794], [5.794, 5.794, 0.000]], "species": ["Cs", "Rb", "Rb", "Dy", "Cl", "Cl", "Cl", "Cl", "Cl", "Cl"], "fractional_positions": [[0.000, 0.000, 0.000], [0.250, 0.250, 0.250], [0.750, 0.750, 0.750], [0.500, 0.500, 0.500], [0.276, 0.276, 0.724], [0.276, 0.724, 0.276], [0.276, 0.724, 0.724], [0.724, 0.276, 0.276], [0.724, 0.276, 0.724], [0.724, 0.724, 0.276]], "vol_a3_per_atom": 38.90, "dos_at_fermi_per_ev_cell": 0.00, "raw_formation_energy_ev_per_atom": -2.04}

---

# 21
{"formula": "Ba5B4O10F2", "functional": "PBEsol", "state": "optimized geometry", "cell": [[10.352, -3.552, 0.000], [10.352, 3.552, 0.000], [-0.768, 0.000, 8.522]], "species": ["Ba", "Ba", "Ba", "Ba", "Ba", "Ba", "Ba", "Ba", "Ba", "Ba", "B", "B", "B", "B", "B", "B", "B", "B", "O", "O", "O", "O", "O", "O", "O", "O", "O", "O", "O", "O", "O", "O", "O", "O", "O", "O", "O", "O", "F", "F", "F", "F"], "fractional_positions": [[0.054, 0.946, 0.750], [0.086, 0.313, 0.305], [0.298, 0.532, 0.392], [0.313, 0.086, 0.805], [0.468, 0.702, 0.108], [0.532, 0.298, 0.892], [0.687, 0.914, 0.195], [0.702, 0.468, 0.608], [0.914, 0.687, 0.695], [0.946, 0.054, 0.250], [0.090, 0.722, 0.006], [0.180, 0.443, 0.084], [0.278, 0.910, 0.494], [0.443, 0.180, 0.584], [0.557, 0.820, 0.416], [0.722, 0.090, 0.506], [0.820, 0.557, 0.916], [0.910, 0.278, 0.994], [0.075, 0.551, 0.218], [0.095, 0.096, 0.041], [0.096, 0.095, 0.541], [0.150, 0.549, 0.965], [0.229, 0.689, 0.083], [0.247, 0.310, 0.560], [0.310, 0.247, 0.060], [0.311, 0.771, 0.417], [0.449, 0.925, 0.282], [0.451, 0.850, 0.535], [0.549, 0.150, 0.465], [0.551, 0.075, 0.718], [0.689, 0.229, 0.583], [0.690, 0.753, 0.940], [0.753, 0.690, 0.440], [0.771, 0.311, 0.917], [0.850, 0.451, 0.035], [0.904, 0.905, 0.459], [0.905, 0.904, 0.959], [0.925, 0.449, 0.782], [0.241, 0.596, 0.696], [0.404, 0.759, 0.804], [0.596, 0.241, 0.196], [0.759, 0.404, 0.304]], "vol_a3_per_atom": 14.92, "dos_at_fermi_per_ev_cell": 0.00, "raw_formation_energy_ev_per_atom": -2.92}

---

# 22
{"formula": "Tb4Si3Ge", "functional": "PBEsol", "state": "optimized geometry", "cell": [[3.828, 0.000, 0.000], [0.000, 4.258, 0.000], [0.000, 0.000, 10.525]], "species": ["Tb", "Tb", "Tb", "Tb", "Si", "Si", "Si", "Ge"], "fractional_positions": [[0.000, 0.000, 0.000], [0.000, 0.500, 0.497], [0.500, 0.000, 0.718], [0.500, 0.500, 0.219], [0.000, 0.000, 0.283], [0.500, 0.000, 0.435], [0.500, 0.500, 0.939], [0.000, 0.500, 0.779]], "vol_a3_per_atom": 21.45, "dos_at_fermi_per_ev_cell": 4.34, "raw_formation_energy_ev_per_atom": -0.90}

---

# 23
{"formula": "K2RbAu", "functional": "PBEsol", "state": "optimized geometry", "cell": [[-5.549, 5.549, 3.459], [5.549, -5.549, 3.459], [5.549, 5.549, -3.459]], "species": ["K", "K", "K", "K", "Rb", "Rb", "Au", "Au"], "fractional_positions": [[0.007, 0.625, 0.882], [0.375, 0.257, 0.382], [0.743, 0.125, 0.118], [0.875, 0.993, 0.618], [0.250, 0.750, 0.500], [0.500, 0.500, 0.000], [0.000, 0.000, 0.000], [0.750, 0.250, 0.500]], "vol_a3_per_atom": 53.26, "formation_enthalpy_0k_ev_per_atom": -0.021, "dos_at_fermi_per_ev_cell": 3.21}

---

# 24
{"formula": "K2ReRu", "functional": "PBEsol", "state": "optimized geometry", "cell": [[2.650, 0.000, 0.000], [0.000, 5.741, 0.000], [-1.010, 0.000, 5.028]], "species": ["K", "K", "Re", "Ru"], "fractional_positions": [[0.220, 0.000, 0.254], [0.780, 0.000, 0.746], [0.500, 0.500, 0.000], [0.000, 0.500, 0.500]], "vol_a3_per_atom": 19.12, "formation_enthalpy_0k_ev_per_atom": 1.386, "dos_at_fermi_per_ev_cell": 3.29}

---

# 25
{"formula": "RbNaLi3", "functional": "PBEsol", "state": "optimized geometry", "cell": [[5.828, 0.000, 0.000], [0.000, 5.828, 0.000], [0.000, 0.000, 5.828]], "species": ["Rb", "Na", "Li", "Li", "Li"], "fractional_positions": [[0.000, 0.000, 0.000], [0.500, 0.500, 0.500], [0.000, 0.500, 0.500], [0.500, 0.000, 0.500], [0.500, 0.500, 0.000]], "vol_a3_per_atom": 39.59, "formation_enthalpy_0k_ev_per_atom": 0.265, "dos_at_fermi_per_ev_cell": 3.11}

---

# 26
{"formula": "Tc2IrOs", "functional": "PBEsol", "state": "optimized geometry", "cell": [[1.349, 0.779, 8.874], [-1.349, 0.779, 8.874], [0.000, -1.557, 8.874]], "species": ["Tc", "Tc", "Ir", "Os"], "fractional_positions": [[0.250, 0.250, 0.250], [0.750, 0.750, 0.750], [0.500, 0.500, 0.500], [0.000, 0.000, 0.000]], "relative_energy_ev_per_fu": 0.696, "vol_a3_per_atom": 13.98, "formation_enthalpy_0k_ev_per_atom": -0.039, "dos_at_fermi_per_ev_cell": 4.12}